[1]
Computed, not measured: a relaxed structure of SrPmHg3 at the GGA-PBE level of DFT.

Lattice parameters (Å, degrees): 15.0480 15.0480 4.9831 90.00 90.00 164.96
With the nearest neighbours (Å) after each atom.
Fractional positions:
Sr (0.0765, 0.9235, 0.7500)  12 Hg 3.48-3.76
Sr (0.9235, 0.0765, 0.2500)  12 Hg 3.48-3.76
Pm (0.2094, 0.7906, 0.2500)  7 Hg 3.18-3.27
Pm (0.7906, 0.2094, 0.7500)  7 Hg 3.18-3.27
Hg (0.3160, 0.6840, 0.2500)  2 Hg 3.07, 5 Pm 3.18-3.27
Hg (0.3761, 0.6239, 0.7500)  3 Hg 2.93-3.07, 2 Pm 3.22
Hg (0.4744, 0.5256, 0.7500)  3 Hg 2.92-2.93
Hg (0.5256, 0.4744, 0.2500)  3 Hg 2.92-2.93
Hg (0.6239, 0.3761, 0.2500)  3 Hg 2.93-3.07, 2 Pm 3.22
Hg (0.6840, 0.3160, 0.7500)  2 Hg 3.07, 5 Pm 3.18-3.27

Summary:
Total magnetic moment (μB/f.u.): 0.00
E_form (eV per atom): -0.461

---

[2]
Computed, not measured: a relaxed structure of CeThHgAu at the GGA-PBE level of DFT.

Lattice parameters (Å, degrees): 3.7364 3.7364 7.6675 90.00 90.00 90.00
With the nearest neighbours (Å) after each atom.
Fractional positions:
Ce (0.0000, 0.0000, 0.0000)  4 Au 3.21, 4 Hg 3.31
Th (0.0000, 0.0000, 0.4729)  4 Au 3.20, 4 Hg 3.34
Hg (0.5000, 0.5000, 0.7404)  4 Ce 3.31, 4 Th 3.34
Au (0.5000, 0.5000, 0.2380)  4 Th 3.20, 4 Ce 3.21

Summary:
Total magnetic moment (μB/f.u.): 1.38
Polymorph energy (0 for the lowest one) (meV per atom): 0.0
E_form (eV per atom): -0.405

---

[3]
Computed, not measured: a relaxed structure of Er2CdReO8 at the GGA-PBE level of DFT.

Lattice parameters (Å, degrees): 4.9253 4.9253 6.9594 90.00 90.00 92.15
With the nearest neighbours (Å) after each atom.
Fractional positions:
Er (0.0000, 0.0000, 0.2482)  6 O 2.18-2.31
Er (0.0000, 0.0000, 0.7518)  6 O 2.18-2.31
Cd (0.5000, 0.5000, 0.0000)  2 O 2.09
Re (0.5000, 0.5000, 0.5000)  6 O 1.89-1.91
O (0.1944, 0.1944, 0.0000)  1 Cd 2.09, 2 Er 2.18
O (0.2198, 0.2198, 0.5000)  1 Re 1.91
O (0.3142, 0.6858, 0.3054)  1 Re 1.89
O (0.3142, 0.6858, 0.6946)  1 Re 1.89
O (0.6858, 0.3142, 0.3054)  1 Re 1.89
O (0.6858, 0.3142, 0.6946)  1 Re 1.89
O (0.7802, 0.7802, 0.5000)  1 Re 1.91
O (0.8056, 0.8056, 0.0000)  1 Cd 2.09, 2 Er 2.18

Summary:
Energy relative to the elements, uncorrected (eV/atom): -2.170
Total magnetic moment (μB/f.u.): 0.49

---

[4]
Computed, not measured: a relaxed structure of LaNd4Ga at the GGA-PBE level of DFT.

Lattice parameters (Å, degrees): 3.6980 3.6980 14.2166 90.00 90.00 90.00
With the nearest neighbours (Å) after each atom.
Fractional positions:
La (0.0000, 0.0000, 0.0000)  4 La 3.70, 8 Nd 3.71
Nd (0.0000, 0.0000, 0.3709)  4 Ga 3.19
Nd (0.0000, 0.0000, 0.6291)  4 Ga 3.19
Nd (0.5000, 0.5000, 0.1850)  8 Nd 3.70-3.72, 4 La 3.71
Nd (0.5000, 0.5000, 0.8150)  8 Nd 3.70-3.72, 4 La 3.71
Ga (0.5000, 0.5000, 0.5000)  8 Nd 3.19

Summary:
Total magnetic moment (μB/f.u.): 0.00
Polymorph energy (0 for the lowest one) (meV per atom): 0.0
E_form (eV per atom): -0.160

---

[5]
Computed, not measured: a relaxed structure of SrTaCoP2 at the GGA-PBE level of DFT.

Lattice parameters (Å, degrees): 6.8954 6.8954 6.8954 147.35 147.35 46.84
With the nearest neighbours (Å) after each atom.
Fractional positions:
Sr (0.0000, 0.0000, 0.0000)  8 P 3.23
Ta (0.2500, 0.7500, 0.5000)  4 P 2.42
Co (0.7500, 0.2500, 0.5000)  4 P 2.42
P (0.3647, 0.3647, 0.0000)  2 Ta 2.42, 2 Co 2.42
P (0.6353, 0.6353, 0.0000)  2 Co 2.42, 2 Ta 2.42

Summary:
Total magnetic moment (μB/f.u.): 0.00
E_form (eV per atom): -0.764

---

[6]
Computed, not measured: a relaxed structure of Li2YCuO4 at the GGA-PBE level of DFT.

Lattice parameters (Å, degrees): 5.9504 5.9504 9.6534 90.00 90.00 148.28
With the nearest neighbours (Å) after each atom.
Fractional positions:
Li (0.0982, 0.9018, 0.5428)  4 O 1.88-2.02
Li (0.0982, 0.9018, 0.9572)  4 O 1.88-2.02
Li (0.9018, 0.0982, 0.0428)  4 O 1.88-2.02
Li (0.9018, 0.0982, 0.4572)  4 O 1.88-2.02
Y (0.4316, 0.5684, 0.7500)  8 O 2.34-2.54
Y (0.5684, 0.4316, 0.2500)  8 O 2.34-2.54
Cu (0.3006, 0.6994, 0.2500)  4 O 1.85-2.05
Cu (0.6994, 0.3006, 0.7500)  4 O 1.85-2.05
O (0.0907, 0.9093, 0.7500)  2 Li 2.00, 2 Cu 2.05
O (0.1744, 0.8256, 0.1300)  1 Cu 1.85, 1 Li 1.88
O (0.1744, 0.8256, 0.3700)  1 Cu 1.85, 1 Li 1.88
O (0.5000, 0.5000, 0.0000)  4 Li 2.02
O (0.5000, 0.5000, 0.5000)  4 Li 2.02
O (0.8256, 0.1744, 0.6300)  1 Cu 1.85, 1 Li 1.88
O (0.8256, 0.1744, 0.8700)  1 Cu 1.85, 1 Li 1.88
O (0.9093, 0.0907, 0.2500)  2 Li 2.00, 2 Cu 2.05

Summary:
Energy relative to the elements, uncorrected (eV/atom): -1.761
Total magnetic moment (μB/f.u.): 0.84

---

[7]
Computed, not measured: a relaxed structure of AcHgIr4 at the GGA-PBE level of DFT.

Lattice parameters (Å, degrees): 5.4611 5.4611 5.4611 60.00 60.00 60.00
With the nearest neighbours (Å) after each atom.
Fractional positions:
Ac (0.0000, 0.0000, 0.0000)  12 Ir 3.20, 4 Hg 3.34
Hg (0.2500, 0.2500, 0.2500)  12 Ir 3.20, 4 Ac 3.34
Ir (0.1267, 0.6244, 0.6244)  6 Ir 2.72-2.74
Ir (0.6244, 0.1267, 0.6244)  6 Ir 2.72-2.74
Ir (0.6244, 0.6244, 0.1267)  6 Ir 2.72-2.74
Ir (0.6244, 0.6244, 0.6244)  6 Ir 2.72-2.74

Summary:
Total magnetic moment (μB/f.u.): 0.00
E_form (eV per atom): -0.082

---

[8]
Computed, not measured: a relaxed structure of Ga2Te4Pd at the GGA-PBE level of DFT.

Lattice parameters (Å, degrees): 5.7245 5.7245 6.5641 90.00 90.00 90.00
With the nearest neighbours (Å) after each atom.
Fractional positions:
Ga (0.0000, 0.5000, 0.0000)  4 Te 2.66
Ga (0.5000, 0.0000, 0.0000)  4 Te 2.66
Te (0.2339, 0.2339, 0.7378)  1 Pd 2.66, 2 Ga 2.66
Te (0.2339, 0.7661, 0.2622)  1 Pd 2.66, 2 Ga 2.66
Te (0.7661, 0.2339, 0.2622)  1 Pd 2.66, 2 Ga 2.66
Te (0.7661, 0.7661, 0.7378)  1 Pd 2.66, 2 Ga 2.66
Pd (0.5000, 0.5000, 0.5000)  4 Te 2.66

Summary:
Energy relative to the elements, uncorrected (eV/atom): -0.247
Total magnetic moment (μB/f.u.): 0.00

---

[9]
Computed, not measured: a relaxed structure of La3BiO4 at the GGA-PBE level of DFT.

Lattice parameters (Å, degrees): 4.0864 4.0864 10.7966 90.00 90.00 90.00
With the nearest neighbours (Å) after each atom.
Fractional positions:
La (0.0000, 0.0000, 0.0000)  8 O 2.53
La (0.5000, 0.5000, 0.2349)  4 O 2.29
La (0.5000, 0.5000, 0.7651)  4 O 2.29
Bi (0.0000, 0.0000, 0.5000)  8 La 4.07, 4 Bi 4.09, 8 O 4.41
O (0.0000, 0.5000, 0.1385)  4 La 2.29-2.53
O (0.0000, 0.5000, 0.8615)  4 La 2.29-2.53
O (0.5000, 0.0000, 0.1385)  4 La 2.29-2.53
O (0.5000, 0.0000, 0.8615)  4 La 2.29-2.53

Summary:
Energy relative to the elements, uncorrected (eV/atom): -2.893
Total magnetic moment (μB/f.u.): 0.00

---

[10]
Computed, not measured: a relaxed structure of CeSmTcRu at the GGA-PBE level of DFT.

Lattice parameters (Å, degrees): 4.8986 4.8986 4.8986 60.00 60.00 60.00
With the nearest neighbours (Å) after each atom.
Fractional positions:
Ce (0.0000, 0.0000, 0.0000)  4 Tc 3.00, 4 Ru 3.00
Sm (0.5000, 0.5000, 0.5000)  4 Tc 3.00, 4 Ru 3.00
Tc (0.7500, 0.7500, 0.7500)  4 Sm 3.00, 4 Ce 3.00
Ru (0.2500, 0.2500, 0.2500)  4 Sm 3.00, 4 Ce 3.00

Summary:
Total magnetic moment (μB/f.u.): 0.00
E_form (eV per atom): -0.060